Compound: Pm5SeS5
Source: the Alexandria database
Functional: PBE
Structure: optimized geometry

Summary:
Formation energy (no corrections) in eV per atom: -2.012
Crystal system: monoclinic

Unit cell a=7.0249 b=7.0249 c=8.1281 alpha=106.60 beta=106.60 gamma=48.14
With the nearest neighbours (Å) after each atom.
Positions (direct):
Pm1 0.0000 0.0000 0.0000  2 Se 2.87, 4 S 2.87-2.88
Pm2 0.3322 0.3322 0.6567  5 S 2.82-2.90, 1 Se 2.94
Pm3 0.3378 0.3378 0.1790  5 S 2.78-2.90, 1 Se 2.89
Pm4 0.6622 0.6622 0.8210  5 S 2.78-2.90, 1 Se 2.89
Pm5 0.6678 0.6678 0.3433  5 S 2.82-2.90, 1 Se 2.94
Se1 0.5000 0.5000 0.0000  6 Pm 2.87-2.94
S1 0.1667 0.1667 0.3315  5 Pm 2.83-2.87
S2 0.1723 0.1723 0.8415  5 Pm 2.87-2.90
S3 0.5000 0.5000 0.5000  4 Pm 2.78-2.82
S4 0.8277 0.8277 0.1585  5 Pm 2.87-2.90
S5 0.8333 0.8333 0.6685  5 Pm 2.83-2.87

***

Compound: PrSm5Ho5
Source: the Alexandria database
Functional: PBE
Structure: optimized geometry

Summary:
Calculated formation energy in eV/atom: 0.297
Crystal system: hexagonal

Unit cell a=6.1099 b=6.1099 c=11.7405 alpha=90.00 beta=90.00 gamma=120.00
With the nearest neighbours (Å) after each atom.
Positions (direct):
Pr1 0.0000 0.0000 0.0000  5 Sm 3.53-3.79
Sm1 0.0000 0.0000 0.3225  9 Ho 3.59-3.70, 1 Pr 3.79
Sm2 0.0000 0.0000 0.6775  9 Ho 3.59-3.70, 1 Pr 3.79
Sm3 0.3333 0.6667 0.1565  7 Sm 3.67-4.03, 3 Ho 3.76, 3 Pr 3.98
Sm4 0.3333 0.6667 0.8435  7 Sm 3.67-4.03, 3 Ho 3.76, 3 Pr 3.98
Sm5 0.6667 0.3333 0.0000  2 Ho 3.13
Ho1 0.0002 0.5001 0.5000  6 Ho 3.05-3.26
Ho2 0.4999 0.9998 0.5000  6 Ho 3.05-3.26
Ho3 0.4999 0.5001 0.5000  6 Ho 3.05-3.26
Ho4 0.6667 0.3333 0.2662  1 Sm 3.13, 3 Ho 3.26
Ho5 0.6667 0.3333 0.7338  1 Sm 3.13, 3 Ho 3.26

***

Compound: NbRe2Sb2
Source: the Alexandria database
Functional: PBE
Structure: optimized geometry

Summary:
Formation energy (no corrections) in eV per atom: 0.562
Crystal system: tetragonal

Unit cell a=6.9824 b=6.9824 c=3.9670 alpha=90.00 beta=90.00 gamma=90.00
With the nearest neighbours (Å) after each atom.
Positions (direct):
Nb1 0.0000 0.0000 0.0000  4 Re 2.75
Nb2 0.5000 0.5000 0.0000  4 Re 2.75
Re1 0.1263 0.3737 0.0000  1 Re 2.49, 2 Nb 2.75, 2 Sb 2.79
Re2 0.3737 0.8737 0.0000  1 Re 2.49, 2 Nb 2.75, 2 Sb 2.79
Re3 0.6263 0.1263 0.0000  1 Re 2.49, 2 Nb 2.75, 2 Sb 2.79
Re4 0.8737 0.6263 0.0000  1 Re 2.49, 2 Nb 2.75, 2 Sb 2.79
Sb1 0.1757 0.6757 0.5000  6 Re 2.79-2.92
Sb2 0.3243 0.1757 0.5000  6 Re 2.79-2.92
Sb3 0.6757 0.8243 0.5000  6 Re 2.79-2.92
Sb4 0.8243 0.3243 0.5000  6 Re 2.79-2.92